Below is a geometry-optimized Re3SbIr structure, with properties calculated at the PBE level.

Unit cell a=4.7315 b=4.7315 c=4.7315 alpha=90.00 beta=90.00 gamma=90.00
Element x y z (fractional)
Re 0.0000 0.0000 0.5000
Re 0.0000 0.5000 0.0000
Re 0.5000 0.0000 0.0000
Sb 0.0000 0.0000 0.0000
Ir 0.5000 0.5000 0.5000

Values from the calculation:
ΔE_f (raw) = 2.95 eV per atom
Calculated density = 13.68 g/cm³
Space-group type = Pm-3m (221)

***

Below is a geometry-optimized ReSbTe2Ir structure, with properties calculated at the PBE level.

Unit cell a=5.1039 b=5.1039 c=5.0898 alpha=90.00 beta=90.00 gamma=90.00
Element x y z (fractional)
Re 0.0000 0.0000 0.0000
Sb 0.0000 0.0000 0.5000
Te 0.0000 0.5000 0.0000
Te 0.5000 0.0000 0.0000
Ir 0.5000 0.5000 0.5000

Values from the calculation:
ΔE_f (raw) = 1.37 eV per atom
Calculated density = 9.46 g/cm³
E above lowest polymorph = 0 meV/atom
Space-group type = P4/mmm (123)

***

Below is a geometry-optimized ReSbTe2Ir structure, with properties calculated at the PBE level.

Unit cell a=5.2470 b=5.2470 c=5.0263 alpha=90.00 beta=90.00 gamma=90.00
Element x y z (fractional)
Re 0.0000 0.0000 0.0000
Sb 0.5000 0.5000 0.0000
Te 0.0000 0.5000 0.5000
Te 0.5000 0.0000 0.5000
Ir 0.5000 0.5000 0.5000

Values from the calculation:
ΔE_f (raw) = 1.44 eV per atom
Calculated density = 9.06 g/cm³
E above lowest polymorph = 69 meV/atom
Space-group type = P4/mmm (123)

***

Below is a geometry-optimized Sc2ReIr structure, with properties calculated at the PBE level.

Unit cell a=2.8934 b=4.3004 c=5.5012 alpha=90.00 beta=97.68 gamma=90.00
Element x y z (fractional)
Sc 0.2447 0.0000 0.2502
Sc 0.7553 0.0000 0.7498
Re 0.0000 0.5000 0.5000
Ir 0.5000 0.5000 0.0000

Values from the calculation:
Calculated density = 11.46 g/cm³
Formation enthalpy at 0 K = -241 meV/atom
Space-group type = P2/m (10)

***

Below is a geometry-optimized Sc2ReIr structure, with properties calculated at the PBE level.

Unit cell a=3.8533 b=3.8533 c=9.2995 alpha=90.00 beta=90.00 gamma=90.00
Element x y z (fractional)
Sc 0.0000 0.0000 0.0000
Sc 0.0000 0.5000 0.2500
Sc 0.5000 0.0000 0.7500
Sc 0.5000 0.5000 0.5000
Re 0.0000 0.0000 0.5000
Re 0.5000 0.5000 0.0000
Ir 0.0000 0.5000 0.7500
Ir 0.5000 0.0000 0.2500

Values from the calculation:
Calculated density = 11.26 g/cm³
Formation enthalpy at 0 K = -234 meV/atom
Space-group type = I-4m2 (119)

***

Below is a geometry-optimized Sc2ReIr structure, with properties calculated at the PBE level.

Unit cell a=2.9073 b=2.9073 c=8.6712 alpha=90.00 beta=90.00 gamma=90.00
Element x y z (fractional)
Sc 0.0000 0.0000 0.0000
Sc 0.5000 0.5000 0.3297
Re 0.5000 0.5000 0.7592
Ir 0.0000 0.0000 0.5629

Values from the calculation:
Calculated density = 10.61 g/cm³
Formation enthalpy at 0 K = -235 meV/atom
Space-group type = P4mm (99)

***

Below is a geometry-optimized Sc2ReIr structure, with properties calculated at the PBE level.

Unit cell a=6.4503 b=6.4503 c=6.4503 alpha=90.00 beta=90.00 gamma=90.00
Element x y z (fractional)
Sc 0.0000 0.0000 0.0000
Sc 0.0000 0.5000 0.5000
Sc 0.2500 0.2500 0.2500
Sc 0.2500 0.7500 0.7500
Sc 0.5000 0.0000 0.5000
Sc 0.5000 0.5000 0.0000
Sc 0.7500 0.2500 0.7500
Sc 0.7500 0.7500 0.2500
Re 0.2500 0.2500 0.7500
Re 0.2500 0.7500 0.2500
Re 0.7500 0.2500 0.2500
Re 0.7500 0.7500 0.7500
Ir 0.0000 0.0000 0.5000
Ir 0.0000 0.5000 0.0000
Ir 0.5000 0.0000 0.0000
Ir 0.5000 0.5000 0.5000

Values from the calculation:
Calculated density = 11.59 g/cm³
Formation enthalpy at 0 K = -178 meV/atom
Space-group type = F-43m (216)

***

Below is a geometry-optimized ScRe2Ir2 structure, with properties calculated at the PBE level.

Unit cell a=7.6726 b=7.6726 c=2.7612 alpha=90.00 beta=90.00 gamma=90.00
Element x y z (fractional)
Sc 0.0000 0.0000 0.0000
Sc 0.5000 0.5000 0.0000
Re 0.1739 0.3261 0.5000
Re 0.3261 0.8261 0.5000
Re 0.6739 0.1739 0.5000
Re 0.8261 0.6739 0.5000
Ir 0.1232 0.6232 0.0000
Ir 0.3768 0.1232 0.0000
Ir 0.6232 0.8768 0.0000
Ir 0.8768 0.3768 0.0000

Values from the calculation:
Calculated density = 16.38 g/cm³
Formation enthalpy at 0 K = -178 meV/atom
E above lowest polymorph = 34 meV/atom
Space-group type = P4/mbm (127)

***

Below is a geometry-optimized ScRe3Ir structure, with properties calculated at the PBE level.

Unit cell a=4.4887 b=4.4887 c=4.4887 alpha=90.00 beta=90.00 gamma=90.00
Element x y z (fractional)
Sc 0.0000 0.0000 0.0000
Re 0.0000 0.0000 0.5000
Re 0.0000 0.5000 0.0000
Re 0.5000 0.0000 0.0000
Ir 0.5000 0.5000 0.5000

Values from the calculation:
Calculated density = 14.61 g/cm³
Formation enthalpy at 0 K = 2499 meV/atom
E above lowest polymorph = 864 meV/atom
Space-group type = Pm-3m (221)

***

Below is a geometry-optimized Sc2ReIr structure, with properties calculated at the PBE level.

Unit cell a=5.8533 b=8.6679 c=2.8770 alpha=90.00 beta=111.89 gamma=90.00
Element x y z (fractional)
Sc 0.2500 0.2500 0.0000
Sc 0.2500 0.7500 0.0000
Sc 0.7500 0.2500 0.0000
Sc 0.7500 0.7500 0.0000
Re 0.0000 0.0000 0.5000
Re 0.5000 0.5000 0.5000
Ir 0.0000 0.5000 0.5000
Ir 0.5000 0.0000 0.5000

Values from the calculation:
Calculated density = 11.48 g/cm³
Formation enthalpy at 0 K = -243 meV/atom
Space-group type = C2/m (12)

***

Below is a geometry-optimized Sc2ReIr structure, with properties calculated at the PBE level.

Unit cell a=7.3030 b=7.3030 c=5.4884 alpha=90.00 beta=90.00 gamma=90.00
Element x y z (fractional)
Sc 0.2355 0.2500 0.1250
Sc 0.2500 0.7355 0.3750
Sc 0.2500 0.7645 0.8750
Sc 0.2645 0.2500 0.6250
Sc 0.7355 0.7500 0.6250
Sc 0.7500 0.2355 0.8750
Sc 0.7500 0.2645 0.3750
Sc 0.7645 0.7500 0.1250
Re 0.0000 0.0000 0.5000
Re 0.0000 0.5000 0.7500
Re 0.5000 0.0000 0.2500
Re 0.5000 0.5000 0.0000
Ir 0.0000 0.0000 0.0000
Ir 0.0000 0.5000 0.2500
Ir 0.5000 0.0000 0.7500
Ir 0.5000 0.5000 0.5000

Values from the calculation:
Calculated density = 10.63 g/cm³
Formation enthalpy at 0 K = 163 meV/atom
Space-group type = I-42d (122)

***

Below is a geometry-optimized ScRe2Ir2 structure, with properties calculated at the PBE level.

Unit cell a=7.6865 b=7.6865 c=2.7609 alpha=90.00 beta=90.00 gamma=90.00
Element x y z (fractional)
Sc 0.0000 0.0000 0.0000
Sc 0.5000 0.5000 0.0000
Re 0.1210 0.3790 0.0000
Re 0.3790 0.8790 0.0000
Re 0.6210 0.1210 0.0000
Re 0.8790 0.6210 0.0000
Ir 0.1730 0.6730 0.5000
Ir 0.3270 0.1730 0.5000
Ir 0.6730 0.8270 0.5000
Ir 0.8270 0.3270 0.5000

Values from the calculation:
Calculated density = 16.32 g/cm³
Formation enthalpy at 0 K = -212 meV/atom
E above lowest polymorph = 0 meV/atom
Space-group type = P4/mbm (127)

***

Below is a geometry-optimized Sc2ReIr structure, with properties calculated at the PBE level.

Unit cell a=3.3753 b=4.2033 c=4.8125 alpha=90.00 beta=90.00 gamma=90.00
Element x y z (fractional)
Sc 0.0000 0.0000 0.0000
Sc 0.5000 0.0000 0.5000
Re 0.0000 0.5000 0.5000
Ir 0.5000 0.5000 0.0000

Values from the calculation:
Calculated density = 11.39 g/cm³
Formation enthalpy at 0 K = -216 meV/atom
Space-group type = Pmmm (47)

***

Below is a geometry-optimized ScRe3Ir structure, with properties calculated at the PBE level.

Unit cell a=4.7257 b=4.7257 c=4.7257 alpha=90.00 beta=90.00 gamma=90.00
Element x y z (fractional)
Sc 0.0000 0.0000 0.0000
Re 0.0000 0.5000 0.5000
Re 0.5000 0.0000 0.5000
Re 0.5000 0.5000 0.0000
Ir 0.5000 0.5000 0.5000

Values from the calculation:
Calculated density = 12.52 g/cm³
Formation enthalpy at 0 K = 1635 meV/atom
E above lowest polymorph = 0 meV/atom
Space-group type = Pm-3m (221)

***

Below is a geometry-optimized Sc2ReIr structure, with properties calculated at the PBE level.

Unit cell a=2.9715 b=2.9715 c=28.1557 alpha=90.00 beta=90.00 gamma=120.00
Element x y z (fractional)
Sc 0.0000 0.0000 0.0892
Sc 0.0000 0.0000 0.9108
Sc 0.3333 0.6667 0.5775
Sc 0.3333 0.6667 0.7559
Sc 0.6667 0.3333 0.2441
Sc 0.6667 0.3333 0.4225
Re 0.0000 0.0000 0.5000
Re 0.3333 0.6667 0.1667
Re 0.6667 0.3333 0.8333
Ir 0.0000 0.0000 0.0000
Ir 0.3333 0.6667 0.6667
Ir 0.6667 0.3333 0.3333

Values from the calculation:
Calculated density = 10.84 g/cm³
Formation enthalpy at 0 K = 192 meV/atom
Space-group type = R-3m (166)